Here is crystalline RbCrI2F at its relaxed geometry from Alexandria via LeMat-Bulk. Energies are from GGA+U.

Properties
- Theoretical density: 4.4 g/cm³
- Volume: 153 Å³ per cell
- DFT total energy: -4.143 eV/atom
- Space group: No. 123
- Crystal system: tetragonal

Unit cell a=6.107 b=6.107 c=4.107 alpha=90.00 beta=90.00 gamma=90.00
Last column: magnetic moment on the atom in μB.
Positions (direct):
Rb 0.500 0.500 0.500  0.00
I 0.500 0.000 0.000  -0.01
Cr 0.000 0.000 0.000  3.80
I 0.000 0.500 0.000  -0.01
F 0.000 0.000 0.500  0.01